# LiMgRe | Alexandria via LeMat-Bulk | PBE | optimized geometry
data_LiMgRe
_symmetry_space_group_name_H-M 'P 4 m m'
_symmetry_Int_Tables_number 99
_symmetry_space_group_name_Hall 'P 4 -2'
_cell_length_a 3.1399
_cell_length_b 3.1399
_cell_length_c 10.1601
_cell_angle_alpha 90.00
_cell_angle_beta 90.00
_cell_angle_gamma 90.00
loop_
_atom_site_label
_atom_site_fract_x
_atom_site_fract_y
_atom_site_fract_z
Li1 0.0000 0.0000 0.0000
Li2 0.0000 0.0000 0.3584
Mg1 0.5000 0.5000 0.1614
Mg2 0.5000 0.5000 0.5412
Re1 0.0000 0.0000 0.7191
Re2 0.5000 0.5000 0.8493
# V = 16.7 Å³ per atom
# Density = 7.2 Mg/m³
# Energy of formation = 0.27 eV per formula unit
# Excess energy over the best structure of this formula in the dataset = 0.038 eV/atom

=====

# KRb2CdAu | Alexandria via LeMat-Bulk | PBE | optimized geometry
data_KRb2CdAu
_symmetry_space_group_name_H-M 'P 4/m m m'
_symmetry_Int_Tables_number 123
_symmetry_space_group_name_Hall '-P 4 2'
_cell_length_a 6.6427
_cell_length_b 6.6427
_cell_length_c 6.3905
_cell_angle_alpha 90.00
_cell_angle_beta 90.00
_cell_angle_gamma 90.00
loop_
_atom_site_label
_atom_site_fract_x
_atom_site_fract_y
_atom_site_fract_z
K1 0.0000 0.0000 0.0000
Rb1 0.0000 0.5000 0.5000
Cd1 0.5000 0.5000 0.0000
Au1 0.0000 0.0000 0.5000
# V = 56.4 Å³ per atom
# Density = 3.1 Mg/m³
# Energy of formation = -0.15 eV per formula unit
# Excess energy over the best structure of this formula in the dataset = 0.070 eV/atom

=====

# Dy2Sc2Pb2S | Alexandria via LeMat-Bulk | PBE | optimized geometry
data_Dy2Sc2Pb2S
_symmetry_space_group_name_H-M 'I 4/m m m'
_symmetry_Int_Tables_number 139
_symmetry_space_group_name_Hall '-I 4 2'
_cell_length_a 4.7701
_cell_length_b 4.7701
_cell_length_c 16.0560
_cell_angle_alpha 90.00
_cell_angle_beta 90.00
_cell_angle_gamma 90.00
loop_
_atom_site_label
_atom_site_fract_x
_atom_site_fract_y
_atom_site_fract_z
Dy1 0.0000 0.0000 0.1673
Sc1 0.0000 0.5000 0.0000
Pb1 0.0000 0.0000 0.3647
S1 0.0000 0.0000 0.0000
# V = 26.1 Å³ per atom
# Density = 7.8 Mg/m³
# Formation energy from raw total energies = -859 meV/atom

=====

# CdFeAu2 | Alexandria via LeMat-Bulk | PBE | optimized geometry
data_CdFeAu2
_symmetry_space_group_name_H-M 'R 3 m'
_symmetry_Int_Tables_number 160
_symmetry_space_group_name_Hall 'R 3 -2"'
_cell_length_a 2.9480
_cell_length_b 2.9480
_cell_length_c 27.8651
_cell_angle_alpha 90.00
_cell_angle_beta 90.00
_cell_angle_gamma 120.00
loop_
_atom_site_label
_atom_site_fract_x
_atom_site_fract_y
_atom_site_fract_z
Cd1 0.0000 0.0000 0.0000
Fe1 0.0000 0.0000 0.2517
Au1 0.0000 0.0000 0.5100
Au2 0.0000 0.0000 0.7552
# V = 17.5 Å³ per atom
# Density = 13.4 Mg/m³
# Energy of formation = 0.62 eV per formula unit

=====

# Tm4FeSn | Alexandria via LeMat-Bulk | PBE | optimized geometry
data_Tm4FeSn
_symmetry_space_group_name_H-M 'C 1 2/c 1'
_symmetry_Int_Tables_number 15
_symmetry_space_group_name_Hall '-C 2yc'
_cell_length_a 8.5880
_cell_length_b 13.0186
_cell_length_c 5.8928
_cell_angle_alpha 90.00
_cell_angle_beta 109.63
_cell_angle_gamma 90.00
loop_
_atom_site_label
_atom_site_fract_x
_atom_site_fract_y
_atom_site_fract_z
Tm1 0.1080 0.1619 0.0517
Tm2 0.2219 0.4281 0.3700
Fe1 0.0000 0.0000 0.2500
Sn1 0.0000 0.3708 0.7500
# V = 25.9 Å³ per atom
# Density = 9.1 Mg/m³
# Energy of formation = -1.93 eV per formula unit

=====

# Mg2SbBr | Alexandria via LeMat-Bulk | PBE | optimized geometry
data_Mg2SbBr
_symmetry_space_group_name_H-M 'I m m 2'
_symmetry_Int_Tables_number 44
_symmetry_space_group_name_Hall 'I 2 -2'
_cell_length_a 3.3082
_cell_length_b 5.7153
_cell_length_c 10.8606
_cell_angle_alpha 90.00
_cell_angle_beta 90.00
_cell_angle_gamma 90.00
loop_
_atom_site_label
_atom_site_fract_x
_atom_site_fract_y
_atom_site_fract_z
Mg1 0.0000 0.0000 0.0000
Mg2 0.0000 0.5000 0.2382
Sb1 0.0000 0.5000 0.7372
Br1 0.0000 0.0000 0.5366
# V = 25.7 Å³ per atom
# Density = 4.0 Mg/m³
# Formation energy from raw total energies = -302 meV/atom
# Excess energy over the best structure of this formula in the dataset = 0.332 eV/atom

=====

# La2Nd2Cd | Alexandria via LeMat-Bulk | PBE | optimized geometry
data_La2Nd2Cd
_symmetry_space_group_name_H-M 'I 4/m m m'
_symmetry_Int_Tables_number 139
_symmetry_space_group_name_Hall '-I 4 2'
_cell_length_a 3.7692
_cell_length_b 3.7692
_cell_length_c 23.5112
_cell_angle_alpha 90.00
_cell_angle_beta 90.00
_cell_angle_gamma 90.00
loop_
_atom_site_label
_atom_site_fract_x
_atom_site_fract_y
_atom_site_fract_z
La1 0.0000 0.0000 0.1941
Nd1 0.0000 0.0000 0.4146
Cd1 0.0000 0.0000 0.0000
# V = 33.4 Å³ per atom
# Density = 6.7 Mg/m³
# Energy of formation = -0.59 eV per formula unit
# Excess energy over the best structure of this formula in the dataset = 0.000 eV/atom

=====

# Rb2Te2P | Alexandria via LeMat-Bulk | PBE | optimized geometry
data_Rb2Te2P
_symmetry_space_group_name_H-M 'P 4/m b m'
_symmetry_Int_Tables_number 127
_symmetry_space_group_name_Hall '-P 4 2ab'
_cell_length_a 7.7935
_cell_length_b 7.7935
_cell_length_c 5.7088
_cell_angle_alpha 90.00
_cell_angle_beta 90.00
_cell_angle_gamma 90.00
loop_
_atom_site_label
_atom_site_fract_x
_atom_site_fract_y
_atom_site_fract_z
Rb1 0.1615 0.3385 0.0000
Te1 0.1598 0.6598 0.5000
P1 0.0000 0.0000 0.5000
# V = 34.7 Å³ per atom
# Density = 4.4 Mg/m³
# Formation energy from raw total energies = -282 meV/atom
# Excess energy over the best structure of this formula in the dataset = 0.003 eV/atom